1.
Here is In2PRh at its PBEsol-relaxed geometry from Alexandria via LeMat-Bulk. Energies are from SCAN.

```
4
Lattice="3.572 0.000 0.000 0.000 4.427 0.000 0.000 0.000 4.427" Properties=species:S:1:pos:R:3 pbc="T T T"
P 1.786 2.214 2.214
Rh 1.786 0.000 0.000
In 0.000 0.000 2.214
In 0.000 2.214 0.000
```

Results
**SG**: P4/mmm, No. 123


2.
Here is BaIr2 at its PBEsol-relaxed geometry from Alexandria via LeMat-Bulk. Energies are from SCAN.

```
6
Lattice="2.962 0.000 0.000 -1.481 5.626 0.007 0.000 -0.266 7.936" Properties=species:S:1:pos:R:3 pbc="T T T"
Ba 1.481 2.292 2.640
Ba 1.481 5.012 0.060
Ir 0.000 5.013 3.043
Ir 0.000 3.621 5.273
Ir 1.481 1.850 6.408
Ir 0.000 0.213 5.084
```

Results
**SG**: Cm, No. 8


3.
Here is MgCdAg2 at its PBEsol-relaxed geometry from Alexandria via LeMat-Bulk. Energies are from SCAN.

```
4
Lattice="4.659 0.000 0.000 2.330 4.035 0.000 2.330 1.345 3.804" Properties=species:S:1:pos:R:3 pbc="T T T"
Cd 0.000 0.000 0.000
Mg 4.659 2.690 1.902
Ag 2.330 1.345 0.951
Ag 6.989 4.035 2.853
```

Results
**SG**: Fm-3m, No. 225


Number 1: total DFT energy (no corrections) -110.52 eV/cell, energy of formation from the pure elements 0.1050 eV/atom, total magnetic moment 0.000 Bohr magnetons per cell. Number 2: total DFT energy (no corrections) -361.50 eV/cell, energy of formation from the pure elements 0.3335 eV/atom, total magnetic moment 0.000 Bohr magnetons per cell. Number 3: total DFT energy (no corrections) -98.84 eV/cell, energy of formation from the pure elements -0.1801 eV/atom, total magnetic moment 0.000 Bohr magnetons per cell.